## ReSiBr3 (PBE-GGA)

Data for an optimized crystal structure of ReSiBr3.

Cell and atoms, written as POSCAR:
```
ReSiBr3
1.0
5.310 0.000 0.000
0.000 5.310 0.000
0.000 0.000 5.310
Re Si Br
1 1 3
direct
0.000 0.000 0.000
0.500 0.500 0.500
0.000 0.500 0.500
0.500 0.000 0.500
0.500 0.500 0.000
```

total magnetization	1.20	μB per atom
density of states at the Fermi level	0.2	states/eV per cell
formation energy from raw total energies	1001.2	meV per atom
final energy	-3.58	eV per atom